No. 1
YIn3Hg (PBE-GGA, relaxed); M_tot = 0.0 μB per cell; symmetry = No. 221; ΔE to the lowest computed polymorph = 0.637 eV/atom
1.0
6.0110 0.0000 0.0000
0.0000 6.0110 0.0000
0.0000 0.0000 6.0110
Y In Hg
1 3 1
Cartesian
0.0000 0.0000 0.0000
0.0000 0.0000 3.0055
0.0000 3.0055 0.0000
3.0055 0.0000 0.0000
3.0055 3.0055 3.0055

---

No. 2
Y2InHg (PBE-GGA, relaxed); M_tot = 0.0 μB per cell; symmetry = No. 216
1.0
0.0000 3.7837 3.7837
3.7837 0.0000 3.7837
3.7837 3.7837 0.0000
Y In Hg
2 1 1
Cartesian
0.0000 0.0000 0.0000
1.8919 1.8919 1.8919
3.7837 3.7837 3.7837
5.6756 5.6756 5.6756

---

No. 3
YIn2Hg6 (PBE-GGA, relaxed); M_tot = 0.0 μB per cell; symmetry = No. 12
1.0
3.2754 -7.7851 0.0000
3.2754 7.7851 0.0000
-1.7380 0.0000 4.4726
Y In Hg
1 2 6
Cartesian
0.0000 0.0000 0.0000
2.4064 5.2319 2.2363
2.4064 -5.2319 2.2363
1.8349 2.5293 0.7565
1.0725 0.0000 3.0113
1.8349 -2.5293 0.7565
2.9779 2.5293 3.7162
3.7403 0.0000 1.4614
2.9779 -2.5293 3.7162

---

No. 4
Y2InHg (PBE-GGA, relaxed); M_tot = 0.0 μB per cell; symmetry = No. 122
1.0
-4.0939 4.0939 3.5238
4.0939 -4.0939 3.5238
4.0939 4.0939 -3.5238
Y In Hg
4 2 2
Cartesian
2.0469 1.9295 -0.8809
2.1643 -2.0469 4.4047
2.0469 2.1643 2.6428
1.9295 6.1408 0.8809
4.0939 0.0000 1.7619
0.0000 0.0000 3.5238
0.0000 0.0000 0.0000
0.0000 4.0939 1.7619

---

No. 5
YIn12Hg6 (PBE-GGA, relaxed); M_tot = 0.0 μB per cell; symmetry = No. 148
1.0
5.6603 3.2680 4.6681
-5.6603 3.2680 4.6681
0.0000 -6.5359 4.6681
Y In Hg
1 12 6
Cartesian
0.0000 0.0000 0.0000
-3.9552 -2.3003 6.7895
-1.8156 -0.4837 5.6569
-3.9698 2.2752 7.2146
0.0145 -4.5755 7.2146
1.3267 -1.3305 5.6569
-0.4889 -1.8142 8.3473
0.4889 1.8142 5.6569
-1.3267 1.3305 8.3473
-0.0145 4.5755 6.7895
3.9697 -2.2752 6.7895
1.8156 0.4837 8.3473
3.9552 2.3003 7.2146
-0.3415 -3.3886 4.0814
-2.7639 1.9901 4.0814
-3.1054 -1.3986 9.9228
3.1054 1.3986 4.0814
2.7639 -1.9900 9.9228
0.3415 3.3887 9.9228

---

No. 6
YInHg3 (PBE-GGA, relaxed); M_tot = 0.0 μB per cell; symmetry = No. 221; ΔE to the lowest computed polymorph = 0.489 eV/atom
1.0
5.3763 0.0000 0.0000
0.0000 5.3763 0.0000
0.0000 0.0000 5.3763
Y In Hg
1 1 3
Cartesian
0.0000 0.0000 0.0000
2.6881 2.6881 2.6881
0.0000 2.6881 2.6881
2.6881 0.0000 2.6881
2.6881 2.6881 0.0000

---

No. 7
YInHg (PBE-GGA, relaxed); M_tot = 0.0 μB per cell; symmetry = No. 156
1.0
4.8899 0.0000 0.0000
-2.4449 4.2348 0.0000
0.0000 0.0000 3.6251
Y In Hg
1 1 1
Cartesian
0.0000 0.0000 0.0000
2.4450 1.4116 1.7999
0.0000 2.8232 1.8339

---

No. 8
Y3In4Hg2 (PBE-GGA, relaxed); M_tot = 0.0 μB per cell; symmetry = No. 12; ΔE to the lowest computed polymorph = 0.000 eV/atom
1.0
5.6268 -2.4474 0.0000
5.6268 2.4474 0.0000
-4.2215 0.0000 8.2832
Y In Hg
3 4 2
Cartesian
0.0000 0.0000 0.0000
2.3120 0.0000 2.7878
4.7200 0.0000 5.4954
-1.1566 0.0000 3.0432
-0.7991 0.0000 7.8353
7.8311 0.0000 0.4480
8.1886 0.0000 5.2400
1.1719 0.0000 5.7628
5.8601 0.0000 2.5205

---

no.,ΔH_f (0 K) (eV/atom)
1,0.54
2,0.00
3,-0.14
4,-0.16
5,-0.04
6,0.30
7,-0.43
8,-0.43